[1]
Entry from the Open Quantum Materials Database: a relaxed LiScNbCo crystal (PBE-GGA).

a b c (Å): 6.2460 6.2460 6.2460
angles (deg): 90.00 90.00 90.00
With the nearest neighbours (Å) after each atom.
Space group F-43m (No. 216)
Symmetry-distinct sites (fractional):
Li1 0.0000 0.0000 0.0000  4 Sc 2.70, 4 Nb 2.70
Sc1 0.2500 0.2500 0.7500  4 Li 2.70, 4 Co 2.70
Nb1 0.2500 0.2500 0.2500  4 Li 2.70, 4 Co 2.70
Co1 0.0000 0.0000 0.5000  4 Nb 2.70, 4 Sc 2.70

Raw total energy, eV/atom: -6.312

[2]
Entry from the Open Quantum Materials Database: a relaxed LiScNbCo crystal (PBE-GGA).

a b c (Å): 6.2009 6.2009 6.2009
angles (deg): 90.00 90.00 90.00
With the nearest neighbours (Å) after each atom.
Space group F-43m (No. 216)
Symmetry-distinct sites (fractional):
Li1 0.0000 0.0000 0.0000  4 Sc 2.69, 4 Co 2.69
Sc1 0.2500 0.2500 0.7500  4 Nb 2.69, 4 Li 2.69
Nb1 0.0000 0.0000 0.5000  4 Co 2.69, 4 Sc 2.69
Co1 0.2500 0.2500 0.2500  4 Nb 2.69, 4 Li 2.69

Raw total energy, eV/atom: -6.175